1.
Below is a geometry-optimized Li4SbPd7 structure, with properties calculated at the PBE-GGA level.

Cell lengths 10.2601, 4.9132, 8.9985 Å; angles 90.00, 118.52, 90.00 degrees
Space group C2/m (No. 12)
Asymmetric unit:
1 Li 0.0805 0.0000 0.2619 (multiplicity 4)
2 Li 0.2321 0.0000 0.8145 (multiplicity 4)
3 Sb 0.0000 0.5000 0.5000 (multiplicity 2)
4 Pd 0.0000 0.0000 0.5000 (multiplicity 2)
5 Pd 0.0440 0.5000 0.8720 (multiplicity 4)
6 Pd 0.1516 0.0000 0.0341 (multiplicity 4)
7 Pd 0.2137 0.5000 0.4307 (multiplicity 4)

Results
- density of states at the Fermi level (states/eV per cell) = 12.3

2.
Below is a geometry-optimized LiSb2Pd structure, with properties calculated at the PBE-GGA level.

Cell lengths 4.5327, 9.2932, 18.3912 Å; angles 90.00, 90.00, 90.00 degrees
Space group Immm (No. 71)
Asymmetric unit:
1 Li 0.0000 0.0000 0.1673 (multiplicity 4)
2 Li 0.0000 0.2007 0.0000 (multiplicity 4)
3 Sb 0.0000 0.0000 0.4241 (multiplicity 4)
4 Sb 0.0000 0.3396 0.2081 (multiplicity 8)
5 Sb 0.0000 0.5000 0.4240 (multiplicity 4)
6 Pd 0.0000 0.2516 0.3545 (multiplicity 8)

Results
- offset from the most stable computed form (meV/atom) = 75
- density of states at the Fermi level (states/eV per cell) = 12.9

3.
Below is a geometry-optimized LiSb2Pd7 structure, with properties calculated at the PBE-GGA level.

Cell lengths 7.4167, 13.1314, 4.2598 Å; angles 90.00, 90.00, 90.00 degrees
Space group Cmmm (No. 65)
Asymmetric unit:
1 Li 0.0000 0.0000 0.0000 (multiplicity 2)
2 Sb 0.0000 0.3017 0.5000 (multiplicity 4)
3 Pd 0.0000 0.1935 0.0000 (multiplicity 4)
4 Pd 0.0000 0.5000 0.5000 (multiplicity 2)
5 Pd 0.1841 0.1068 0.5000 (multiplicity 8)

Results
- density of states at the Fermi level (states/eV per cell) = 12.5

4.
Below is a geometry-optimized Li2Sb2Pd5 structure, with properties calculated at the PBE-GGA level.

Cell lengths 15.2135, 7.1313, 5.6559 Å; angles 90.00, 90.00, 90.00 degrees
Space group Ima2 (No. 46)
Asymmetric unit:
1 Li 0.0700 0.0837 0.0000 (multiplicity 8)
2 Sb 0.0000 0.0000 0.4768 (multiplicity 4)
3 Sb 0.2500 0.6369 0.9512 (multiplicity 4)
4 Pd 0.0978 0.7405 0.2343 (multiplicity 8)
5 Pd 0.1594 0.1460 0.6166 (multiplicity 8)
6 Pd 0.2500 0.0134 0.0251 (multiplicity 4)

Results
- density of states at the Fermi level (states/eV per cell) = 17.0

5.
Below is a geometry-optimized LiSb2Pd structure, with properties calculated at the PBE-GGA level.

Cell lengths 6.8863, 6.8863, 6.8863 Å; angles 90.00, 90.00, 90.00 degrees
Space group Fm-3m (No. 225)
Asymmetric unit:
1 Li 0.0000 0.0000 0.0000 (multiplicity 4)
2 Sb 0.2500 0.2500 0.2500 (multiplicity 8)
3 Pd 0.0000 0.0000 0.5000 (multiplicity 4)

Results
- offset from the most stable computed form (meV/atom) = 86
- density of states at the Fermi level (states/eV per cell) = 5.2

6.
Below is a geometry-optimized Li4SbPd structure, with properties calculated at the PBE-GGA level.

Cell lengths 9.4338, 4.7905, 5.5158 Å; angles 90.00, 90.00, 90.00 degrees
Space group Pmn2_1 (No. 31)
Asymmetric unit:
1 Li 0.0000 0.0078 0.0000 (multiplicity 2)
2 Li 0.0000 0.9908 0.4874 (multiplicity 2)
3 Li 0.2498 0.4205 0.4932 (multiplicity 4)
4 Sb 0.0000 0.4993 0.7437 (multiplicity 2)
5 Pd 0.0000 0.4992 0.2436 (multiplicity 2)

Results
- offset from the most stable computed form (meV/atom) = 121
- density of states at the Fermi level (states/eV per cell) = 3.4

7.
Below is a geometry-optimized Li2Sb2Pd structure, with properties calculated at the PBE-GGA level.

Cell lengths 10.6872, 4.4807, 9.9608 Å; angles 90.00, 115.88, 90.00 degrees
Space group C2/m (No. 12)
Asymmetric unit:
1 Li 0.0350 0.0000 0.3429 (multiplicity 4)
2 Li 0.1612 0.0000 0.0801 (multiplicity 4)
3 Sb 0.0323 0.5000 0.8712 (multiplicity 4)
4 Sb 0.1461 0.5000 0.6024 (multiplicity 4)
5 Pd 0.2175 0.5000 0.3726 (multiplicity 4)

Results
- offset from the most stable computed form (meV/atom) = 9
- density of states at the Fermi level (states/eV per cell) = 7.4

8.
Below is a geometry-optimized Li3Sb2Pd5 structure, with properties calculated at the PBE-GGA level.

Cell lengths 10.6995, 12.9445, 5.3938 Å; angles 90.00, 90.00, 90.00 degrees
Space group Ibam (No. 72)
Asymmetric unit:
1 Li 0.0000 0.0000 0.2500 (multiplicity 4)
2 Li 0.0987 0.3213 0.0000 (multiplicity 8)
3 Sb 0.1288 0.1520 0.5000 (multiplicity 8)
4 Pd 0.0000 0.5000 0.2500 (multiplicity 4)
5 Pd 0.1446 0.3455 0.5000 (multiplicity 8)
6 Pd 0.2390 0.0000 0.2500 (multiplicity 8)

Results
- density of states at the Fermi level (states/eV per cell) = 23.5

9.
Below is a geometry-optimized LiSbPd3 structure, with properties calculated at the PBE-GGA level.

Cell lengths 4.3506, 4.3506, 4.3506 Å; angles 90.00, 90.00, 90.00 degrees
Space group Pm-3m (No. 221)
Asymmetric unit:
1 Li 0.0000 0.0000 0.0000 (multiplicity 1)
2 Sb 0.5000 0.5000 0.5000 (multiplicity 1)
3 Pd 0.0000 0.0000 0.5000 (multiplicity 3)

Results
- offset from the most stable computed form (meV/atom) = 568
- density of states at the Fermi level (states/eV per cell) = 2.4

10.
Below is a geometry-optimized Li2Sb2Pd structure, with properties calculated at the PBE-GGA level.

Cell lengths 6.9229, 6.9229, 4.4944 Å; angles 90.00, 90.00, 90.00 degrees
Space group P4/mbm (No. 127)
Asymmetric unit:
1 Li 0.1601 0.3399 0.0000 (multiplicity 4)
2 Sb 0.1478 0.6478 0.5000 (multiplicity 4)
3 Pd 0.0000 0.0000 0.5000 (multiplicity 2)

Results
- offset from the most stable computed form (meV/atom) = 0
- density of states at the Fermi level (states/eV per cell) = 3.3

11.
Below is a geometry-optimized Li2SbPd3 structure, with properties calculated at the PBE-GGA level.

Cell lengths 4.1796, 11.9784, 3.7089 Å; angles 90.00, 90.00, 90.00 degrees
Space group Cmmm (No. 65)
Asymmetric unit:
1 Li 0.0000 0.1708 0.0000 (multiplicity 4)
2 Sb 0.0000 0.5000 0.0000 (multiplicity 2)
3 Pd 0.0000 0.0000 0.5000 (multiplicity 2)
4 Pd 0.0000 0.3307 0.5000 (multiplicity 4)

Results
- offset from the most stable computed form (meV/atom) = 0
- density of states at the Fermi level (states/eV per cell) = 2.7

12.
Below is a geometry-optimized Li6SbPd5 structure, with properties calculated at the PBE-GGA level.

Cell lengths 4.3738, 13.1624, 5.8827 Å; angles 90.00, 90.19, 90.00 degrees
Space group C2/m (No. 12)
Asymmetric unit:
1 Li 0.0000 0.0000 0.2306 (multiplicity 4)
2 Li 0.0003 0.3252 0.2435 (multiplicity 8)
3 Sb 0.0000 0.5000 0.5000 (multiplicity 2)
4 Pd 0.0000 0.1606 0.5000 (multiplicity 4)
5 Pd 0.0000 0.1653 0.0000 (multiplicity 4)
6 Pd 0.0000 0.5000 0.0000 (multiplicity 2)

Results
- offset from the most stable computed form (meV/atom) = 28
- density of states at the Fermi level (states/eV per cell) = 8.0

Number 1: formation energy from raw total energies -0.21 eV/atom. Number 2: formation energy from raw total energies -0.32 eV/atom. Number 3: formation energy from raw total energies -0.08 eV/atom. Number 4: formation energy from raw total energies -0.38 eV/atom. Number 5: formation energy from raw total energies -0.31 eV/atom. Number 6: formation energy from raw total energies -0.40 eV/atom. Number 7: formation energy from raw total energies -0.46 eV/atom. Number 8: formation energy from raw total energies -0.27 eV/atom. Number 9: formation energy from raw total energies 0.03 eV/atom. Number 10: formation energy from raw total energies -0.47 eV/atom. Number 11: formation energy from raw total energies -0.53 eV/atom. Number 12: formation energy from raw total energies -0.45 eV/atom.